# 1
Material: Ce2Al2ZnRh5
Method: DFT, PBE
State: optimized geometry

Cell and atoms, written as extended XYZ:
```
20
Lattice="9.809 0.000 0.000 0.000 9.809 0.000 0.000 0.000 3.562" Properties=species:S:1:pos:R:3 pbc="T T T"
Ce 1.743 3.161 0.000
Ce 3.161 8.066 0.000
Ce 6.648 1.743 0.000
Ce 8.066 6.648 0.000
Al 1.193 6.098 0.000
Al 3.712 1.193 0.000
Al 6.098 8.616 0.000
Al 8.616 3.712 0.000
Zn 0.000 0.000 0.000
Zn 4.905 4.905 0.000
Rh 0.000 4.905 1.781
Rh 0.699 7.796 1.781
Rh 2.013 0.699 1.781
Rh 2.892 5.604 1.781
Rh 4.205 2.892 1.781
Rh 4.905 0.000 1.781
Rh 5.604 6.918 1.781
Rh 6.918 4.205 1.781
Rh 7.796 9.110 1.781
Rh 9.110 2.013 1.781
```

Summary:
- size of the total moment (μB/f.u.) = 0.5
- density of states at the Fermi level (states/eV/f.u.) = 7.411
- crystal system = tetragonal
- final energy (eV/atom) = -6.44

=====

# 2
Material: Ce2AlZn2Rh5
Method: DFT, PBE
State: optimized geometry

Cell and atoms, written as extended XYZ:
```
20
Lattice="9.639 0.000 0.000 0.000 9.639 0.000 0.000 0.000 3.640" Properties=species:S:1:pos:R:3 pbc="T T T"
Ce 1.681 3.139 0.000
Ce 3.139 7.959 0.000
Ce 6.500 1.681 0.000
Ce 7.959 6.500 0.000
Al 0.000 0.000 0.000
Al 4.820 4.820 0.000
Zn 1.196 6.016 0.000
Zn 3.624 1.196 0.000
Zn 6.016 8.443 0.000
Zn 8.443 3.624 0.000
Rh 0.000 4.820 1.820
Rh 0.714 7.731 1.820
Rh 1.909 0.714 1.820
Rh 2.911 5.534 1.820
Rh 4.105 2.911 1.820
Rh 4.820 0.000 1.820
Rh 5.534 6.728 1.820
Rh 6.728 4.105 1.820
Rh 7.731 8.925 1.820
Rh 8.925 1.909 1.820
```

Summary:
- size of the total moment (μB/f.u.) = 0.0
- density of states at the Fermi level (states/eV/f.u.) = 6.718
- crystal system = tetragonal
- final energy (eV/atom) = -6.14

=====

# 3
Material: CeAlZnRh
Method: DFT, PBE
State: optimized geometry

Cell and atoms, written as extended XYZ:
```
4
Lattice="0.000 3.331 3.331 3.331 0.000 3.331 3.331 3.331 0.000" Properties=species:S:1:pos:R:3 pbc="T T T"
Ce 0.000 0.000 0.000
Al 3.331 3.331 3.331
Zn 1.666 1.666 1.666
Rh 4.997 4.997 4.997
```

Summary:
- size of the total moment (μB/f.u.) = 0.0
- density of states at the Fermi level (states/eV/f.u.) = 4.849
- crystal system = cubic
- final energy (eV/atom) = -5.05

=====

# 4
Material: Ce12AlRu7
Method: DFT, PBE
State: optimized geometry

Cell and atoms, written as extended XYZ:
```
20
Lattice="6.805 3.929 2.747 -6.805 3.929 2.747 0.000 -7.858 2.747" Properties=species:S:1:pos:R:3 pbc="T T T"
Ce -1.380 -1.661 2.269
Ce -3.518 0.683 3.387
Ce -2.350 -2.705 4.854
Ce -0.749 2.025 2.269
Ce 1.168 -3.388 3.387
Ce 2.128 -0.364 2.269
Ce -2.128 0.364 5.973
Ce -1.168 3.388 4.854
Ce 0.749 -2.025 5.973
Ce 2.350 2.705 3.387
Ce 3.518 -0.683 4.854
Ce 1.380 1.661 5.973
Al 0.000 0.000 0.000
Ru -6.127 1.313 3.508
Ru -4.201 -4.650 4.734
Ru 1.927 -5.963 3.508
Ru 0.000 0.000 4.121
Ru -1.927 5.963 4.734
Ru 4.201 4.650 3.508
Ru 6.127 -1.313 4.734
```

Summary:
- size of the total moment (μB/f.u.) = 0.0
- density of states at the Fermi level (states/eV/f.u.) = 40.687
- crystal system = trigonal
- final energy (eV/atom) = -7.27

=====

# 5
Material: Ce8AlRu2
Method: DFT, PBE
State: optimized geometry

Cell and atoms, written as extended XYZ:
```
11
Lattice="5.462 -4.304 0.000 5.462 4.304 0.000 -0.153 0.000 5.950" Properties=species:S:1:pos:R:3 pbc="T T T"
Ce 0.711 0.000 1.653
Ce 3.821 2.248 1.407
Ce 4.049 0.000 3.173
Ce 6.951 2.248 4.543
Ce 3.821 -2.248 1.407
Ce 6.723 0.000 2.777
Ce 6.951 -2.248 4.543
Ce 10.060 0.000 4.297
Al 5.462 0.000 0.000
Ru 2.654 0.000 5.885
Ru 8.118 0.000 0.065
```

Summary:
- size of the total moment (μB/f.u.) = 1.3
- density of states at the Fermi level (states/eV/f.u.) = 28.602
- crystal system = monoclinic
- final energy (eV/atom) = -6.46

=====

# 6
Material: Ce3AlRu2
Method: DFT, PBE
State: optimized geometry

Cell and atoms, written as extended XYZ:
```
6
Lattice="-2.215 2.252 6.576 2.215 -2.252 6.576 2.215 2.252 -6.576" Properties=species:S:1:pos:R:3 pbc="T T T"
Ce 0.000 0.000 0.000
Ce 2.215 0.000 4.154
Ce 0.000 2.252 2.422
Al 0.000 0.000 6.576
Ru 2.215 0.000 1.815
Ru 0.000 2.252 4.762
```

Summary:
- size of the total moment (μB/f.u.) = 0.0
- density of states at the Fermi level (states/eV/f.u.) = 5.987
- crystal system = orthorhombic
- final energy (eV/atom) = -7.13